Version 1
CsSb2MoI | PBE | relaxed

The structure in CIF format:
```
data_CsSb2MoI
_cell_length_a 5.258
_cell_length_b 5.258
_cell_length_c 6.404
_cell_angle_alpha 90.00
_cell_angle_beta 90.00
_cell_angle_gamma 90.00
_symmetry_space_group_name_H-M 'P 4/m m m'
_symmetry_Int_Tables_number 123
_symmetry_space_group_name_Hall '-P 4 2'
loop_
_atom_site_label
_atom_site_type_symbol
_atom_site_fract_x
_atom_site_fract_y
_atom_site_fract_z
Cs1 Cs 0.000 0.000 0.000
Sb1 Sb 0.000 0.500 0.500
Mo1 Mo 0.500 0.500 0.500
I1 I 0.500 0.500 0.000
```


Version 2
CsSb2MoI | PBE | relaxed

The structure in CIF format:
```
data_CsSb2MoI
_cell_length_a 6.452
_cell_length_b 6.452
_cell_length_c 6.756
_cell_angle_alpha 90.00
_cell_angle_beta 90.00
_cell_angle_gamma 90.00
_symmetry_space_group_name_H-M 'P 4/m m m'
_symmetry_Int_Tables_number 123
_symmetry_space_group_name_Hall '-P 4 2'
loop_
_atom_site_label
_atom_site_type_symbol
_atom_site_fract_x
_atom_site_fract_y
_atom_site_fract_z
Cs1 Cs 0.000 0.000 0.000
Sb1 Sb 0.000 0.500 0.000
Mo1 Mo 0.500 0.500 0.500
I1 I 0.000 0.000 0.500
```


version 1 has the most favorable energy; the next structure is 1846 meV per atom above.


Version 1
CsTe2MoI | PBE | relaxed

The structure in CIF format:
```
data_CsTe2MoI
_cell_length_a 6.393
_cell_length_b 6.393
_cell_length_c 6.901
_cell_angle_alpha 90.00
_cell_angle_beta 90.00
_cell_angle_gamma 90.00
_symmetry_space_group_name_H-M 'P 4/m m m'
_symmetry_Int_Tables_number 123
_symmetry_space_group_name_Hall '-P 4 2'
loop_
_atom_site_label
_atom_site_type_symbol
_atom_site_fract_x
_atom_site_fract_y
_atom_site_fract_z
Cs1 Cs 0.000 0.000 0.000
Te1 Te 0.000 0.500 0.000
Mo1 Mo 0.500 0.500 0.500
I1 I 0.000 0.000 0.500
```


Version 2
CsTe2MoI | PBE | relaxed

The structure in CIF format:
```
data_CsTe2MoI
_cell_length_a 5.347
_cell_length_b 5.347
_cell_length_c 6.192
_cell_angle_alpha 90.00
_cell_angle_beta 90.00
_cell_angle_gamma 90.00
_symmetry_space_group_name_H-M 'P 4/m m m'
_symmetry_Int_Tables_number 123
_symmetry_space_group_name_Hall '-P 4 2'
loop_
_atom_site_label
_atom_site_type_symbol
_atom_site_fract_x
_atom_site_fract_y
_atom_site_fract_z
Cs1 Cs 0.000 0.000 0.000
Te1 Te 0.000 0.500 0.500
Mo1 Mo 0.500 0.500 0.500
I1 I 0.500 0.500 0.000
```


version 2 has the most favorable energy; the next structure is 1700 meV per atom above.


Version 1
CsI2N2 | PBE | relaxed

The structure in CIF format:
```
data_CsI2N2
_cell_length_a 7.472
_cell_length_b 7.472
_cell_length_c 6.851
_cell_angle_alpha 90.00
_cell_angle_beta 90.00
_cell_angle_gamma 90.00
_symmetry_space_group_name_H-M 'P 4/m m m'
_symmetry_Int_Tables_number 123
_symmetry_space_group_name_Hall '-P 4 2'
loop_
_atom_site_label
_atom_site_type_symbol
_atom_site_fract_x
_atom_site_fract_y
_atom_site_fract_z
Cs1 Cs 0.000 0.000 0.000
I1 I 0.000 0.500 0.000
N1 N 0.000 0.000 0.500
N2 N 0.500 0.500 0.500
```


Version 2
CsI2N2 | PBE | relaxed

The structure in CIF format:
```
data_CsI2N2
_cell_length_a 4.939
_cell_length_b 4.939
_cell_length_c 8.912
_cell_angle_alpha 90.00
_cell_angle_beta 90.00
_cell_angle_gamma 90.00
_symmetry_space_group_name_H-M 'P 4/m m m'
_symmetry_Int_Tables_number 123
_symmetry_space_group_name_Hall '-P 4 2'
loop_
_atom_site_label
_atom_site_type_symbol
_atom_site_fract_x
_atom_site_fract_y
_atom_site_fract_z
Cs1 Cs 0.000 0.000 0.000
I1 I 0.500 0.500 0.000
I2 I 0.500 0.500 0.500
N1 N 0.000 0.500 0.500
```


Version 3
CsI2N2 | PBE | relaxed

The structure in CIF format:
```
data_CsI2N2
_cell_length_a 4.917
_cell_length_b 4.917
_cell_length_c 7.726
_cell_angle_alpha 90.00
_cell_angle_beta 90.00
_cell_angle_gamma 90.00
_symmetry_space_group_name_H-M 'P 4/m m m'
_symmetry_Int_Tables_number 123
_symmetry_space_group_name_Hall '-P 4 2'
loop_
_atom_site_label
_atom_site_type_symbol
_atom_site_fract_x
_atom_site_fract_y
_atom_site_fract_z
Cs1 Cs 0.000 0.000 0.000
I1 I 0.000 0.000 0.500
I2 I 0.500 0.500 0.500
N1 N 0.000 0.500 0.000
```


version 2 has the most favorable energy; the next structure is 424 meV per atom above.


Version 1
CsIN2 | PBE | relaxed

The structure in CIF format:
```
data_CsIN2
_cell_length_a 4.7787
_cell_length_b 4.7787
_cell_length_c 21.8344
_cell_angle_alpha 90.00
_cell_angle_beta 90.00
_cell_angle_gamma 120.00
_symmetry_space_group_name_H-M 'R -3 m'
_symmetry_Int_Tables_number 166
_symmetry_space_group_name_Hall '-R 3 2"'
loop_
_atom_site_label
_atom_site_type_symbol
_atom_site_fract_x
_atom_site_fract_y
_atom_site_fract_z
Cs1 Cs 0.0000 0.0000 0.0000
I1 I 0.0000 0.0000 0.5000
N1 N 0.0000 0.0000 0.4092
```


Version 2
CsIN2 | PBE | relaxed

The structure in CIF format:
```
data_CsIN2
_cell_length_a 8.044
_cell_length_b 8.044
_cell_length_c 8.044
_cell_angle_alpha 90.00
_cell_angle_beta 90.00
_cell_angle_gamma 90.00
_symmetry_space_group_name_H-M 'F m -3 m'
_symmetry_Int_Tables_number 225
_symmetry_space_group_name_Hall '-F 4 2 3'
loop_
_atom_site_label
_atom_site_type_symbol
_atom_site_fract_x
_atom_site_fract_y
_atom_site_fract_z
Cs1 Cs 0.000 0.000 0.000
I1 I 0.000 0.000 0.500
N1 N 0.250 0.250 0.250
```


Version 3
CsIN2 | PBE | relaxed

The structure in CIF format:
```
data_CsIN2
_cell_length_a 6.541
_cell_length_b 6.541
_cell_length_c 9.357
_cell_angle_alpha 90.00
_cell_angle_beta 90.00
_cell_angle_gamma 90.00
_symmetry_space_group_name_H-M 'I -4 2 d'
_symmetry_Int_Tables_number 122
_symmetry_space_group_name_Hall 'I -4 2bw'
loop_
_atom_site_label
_atom_site_type_symbol
_atom_site_fract_x
_atom_site_fract_y
_atom_site_fract_z
Cs1 Cs 0.000 0.000 0.000
I1 I 0.000 0.000 0.500
N1 N 0.100 0.250 0.625
```


Version 4
CsIN2 | PBE | relaxed

The structure in CIF format:
```
data_CsIN2
_cell_length_a 3.5533
_cell_length_b 3.5533
_cell_length_c 23.8180
_cell_angle_alpha 90.00
_cell_angle_beta 90.00
_cell_angle_gamma 120.00
_symmetry_space_group_name_H-M 'R -3 m'
_symmetry_Int_Tables_number 166
_symmetry_space_group_name_Hall '-R 3 2"'
loop_
_atom_site_label
_atom_site_type_symbol
_atom_site_fract_x
_atom_site_fract_y
_atom_site_fract_z
Cs1 Cs 0.0000 0.0000 0.0000
I1 I 0.0000 0.0000 0.5000
N1 N 0.0000 0.0000 0.1180
```


version 3 has the most favorable energy; the next structure is 223 meV per atom above.


Version 1
CsOsI2N | PBE | relaxed

The structure in CIF format:
```
data_CsOsI2N
_cell_length_a 6.967
_cell_length_b 6.967
_cell_length_c 4.276
_cell_angle_alpha 90.00
_cell_angle_beta 90.00
_cell_angle_gamma 90.00
_symmetry_space_group_name_H-M 'P 4/m m m'
_symmetry_Int_Tables_number 123
_symmetry_space_group_name_Hall '-P 4 2'
loop_
_atom_site_label
_atom_site_type_symbol
_atom_site_fract_x
_atom_site_fract_y
_atom_site_fract_z
Cs1 Cs 0.000 0.000 0.000
Os1 Os 0.500 0.500 0.500
I1 I 0.000 0.500 0.000
N1 N 0.000 0.000 0.500
```


Version 2
CsOsI2N | PBE | relaxed

The structure in CIF format:
```
data_CsOsI2N
_cell_length_a 6.017
_cell_length_b 6.017
_cell_length_c 3.820
_cell_angle_alpha 90.00
_cell_angle_beta 90.00
_cell_angle_gamma 90.00
_symmetry_space_group_name_H-M 'P 4/m m m'
_symmetry_Int_Tables_number 123
_symmetry_space_group_name_Hall '-P 4 2'
loop_
_atom_site_label
_atom_site_type_symbol
_atom_site_fract_x
_atom_site_fract_y
_atom_site_fract_z
Cs1 Cs 0.000 0.000 0.000
Os1 Os 0.500 0.500 0.500
I1 I 0.000 0.500 0.500
N1 N 0.500 0.500 0.000
```


version 2 has the most favorable energy; the next structure is 2424 meV per atom above.


Version 1
CsPIN2 | PBE | relaxed

The structure in CIF format:
```
data_CsPIN2
_cell_length_a 4.644
_cell_length_b 4.644
_cell_length_c 5.617
_cell_angle_alpha 90.00
_cell_angle_beta 90.00
_cell_angle_gamma 90.00
_symmetry_space_group_name_H-M 'P 4/m m m'
_symmetry_Int_Tables_number 123
_symmetry_space_group_name_Hall '-P 4 2'
loop_
_atom_site_label
_atom_site_type_symbol
_atom_site_fract_x
_atom_site_fract_y
_atom_site_fract_z
Cs1 Cs 0.000 0.000 0.000
P1 P 0.500 0.500 0.500
I1 I 0.500 0.500 0.000
N1 N 0.000 0.500 0.500
```


Version 2
CsPIN2 | PBE | relaxed

The structure in CIF format:
```
data_CsPIN2
_cell_length_a 4.484
_cell_length_b 4.484
_cell_length_c 8.011
_cell_angle_alpha 90.00
_cell_angle_beta 90.00
_cell_angle_gamma 90.00
_symmetry_space_group_name_H-M 'P 4/m m m'
_symmetry_Int_Tables_number 123
_symmetry_space_group_name_Hall '-P 4 2'
loop_
_atom_site_label
_atom_site_type_symbol
_atom_site_fract_x
_atom_site_fract_y
_atom_site_fract_z
Cs1 Cs 0.000 0.000 0.000
P1 P 0.500 0.500 0.500
I1 I 0.000 0.000 0.500
N1 N 0.000 0.500 0.000
```


version 1 has the most favorable energy; the next structure is 1078 meV per atom above.